Record 1
# BaZrTl2 PBE relaxed
# **Density**: 8.459 Mg/m³
# **Raw total energy**: -3.62 eV per atom
# **Energy relative to the elements**: 178 meV/atom
data_BaZrTl2
_chemical_formula_sum 'Ba1 Zr1 Tl2'
_space_group_name_H-M_alt 'P 4 m m'
_space_group_IT_number 99
_space_group_name_Hall 'P 4 -2'
_cell_length_a 3.660
_cell_length_b 3.660
_cell_length_c 9.337
_cell_angle_alpha 90.00
_cell_angle_beta 90.00
_cell_angle_gamma 90.00
loop_
_atom_site_label
_atom_site_type_symbol
_atom_site_fract_x
_atom_site_fract_y
_atom_site_fract_z
Ba1 Ba 0.000 0.000 0.000
Zr1 Zr 0.500 0.500 0.703
Tl1 Tl 0.000 0.000 0.515
Tl2 Tl 0.500 0.500 0.292

Record 2
# BaZrTl PBE relaxed
# **Density**: 7.200 Mg/m³
# **Raw total energy**: -4.38 eV per atom
# **Distance to the lowest polymorph of the same formula**: 0 meV/atom
# **Energy relative to the elements**: -96 meV/atom
data_BaZrTl
_chemical_formula_sum 'Ba2 Zr2 Tl2'
_space_group_name_H-M_alt 'P 1 21/m 1'
_space_group_IT_number 11
_space_group_name_Hall '-P 2yb'
_cell_length_a 3.715
_cell_length_b 3.969
_cell_length_c 13.541
_cell_angle_alpha 90.00
_cell_angle_beta 90.14
_cell_angle_gamma 90.00
loop_
_atom_site_label
_atom_site_type_symbol
_atom_site_fract_x
_atom_site_fract_y
_atom_site_fract_z
Ba1 Ba 0.247 0.250 0.146
Zr1 Zr 0.249 0.250 0.439
Tl1 Tl 0.252 0.250 0.676

Record 3
# BaZr2Tl PBE relaxed
# **Density**: 7.863 Mg/m³
# **Raw total energy**: -4.95 eV per atom
# **Distance to the lowest polymorph of the same formula**: 283 meV/atom
# **Energy relative to the elements**: 395 meV/atom
data_BaZr2Tl
_chemical_formula_sum 'Ba1 Zr2 Tl1'
_space_group_name_H-M_alt 'P m m m'
_space_group_IT_number 47
_space_group_name_Hall '-P 2 2'
_cell_length_a 3.414
_cell_length_b 5.555
_cell_length_c 5.838
_cell_angle_alpha 90.00
_cell_angle_beta 90.00
_cell_angle_gamma 90.00
loop_
_atom_site_label
_atom_site_type_symbol
_atom_site_fract_x
_atom_site_fract_y
_atom_site_fract_z
Ba1 Ba 0.000 0.000 0.000
Zr1 Zr 0.000 0.500 0.500
Zr2 Zr 0.500 0.500 0.000
Tl1 Tl 0.500 0.000 0.500